This record from the Alexandria database describes a relaxed structure of MnCoTcGeSe. The functional is PBE.

Calculated values
volume = 15.67 A^3/atom
crystal system = monoclinic
uncorrected formation energy = 0.038 eV per atom
polymorph energy (0 for the lowest one) = 0.010 eV per atom
DOS at the Fermi energy = 6.8 states/eV per cell
total magnetization = 3.2 μB per formula unit

Cell: 8.1036 3.8961 5.0326 Å, 90.00 99.52 90.00°
Last column: nearest neighbours and their distance in Å.
Space group Cm (No. 8)
Unique sites:
Mn  0.0000  0.0000  0.0000 x2  2 Co 2.53-2.58, 2 Ge 2.64, 3 Tc 2.78-2.81, 3 Se 2.78-2.79
Co  0.0552  0.0000  0.5090 x2  2 Se 2.39, 2 Ge 2.47, 2 Mn 2.53-2.58
Tc  0.2156  0.5000  0.2512 x2  3 Ge 2.45-2.59, 2 Se 2.49-2.61
Ge  0.4015  0.0000  0.2900 x2  3 Tc 2.45-2.59, 2 Co 2.47, 2 Mn 2.64
Se  0.1659  0.5000  0.7505 x2  2 Co 2.39, 2 Tc 2.49-2.61